DFT (GGA+U) results for TaInNi2O6 after structural relaxation.

VASP energy = -202.85 eV for the cell shown
Spin magnetization = 0.400 μB/atom
D(E_F) = 0.0 states/eV per cell

a b c (Å): 5.2663 5.2663 14.2835
angles (deg): 90.00 90.00 120.00
Space group R3 (No. 146, hexagonal axes)
Inequivalent atoms, fractional coordinates:
Ta1 0.0000 0.0000 0.0000 x3
In1 0.0000 0.0000 0.5048 x3
Ni1 0.0000 0.0000 0.2953 x3
Ni2 0.0000 0.0000 0.7969 x3
O1 0.0102 0.7142 0.9008 x9
O2 0.0227 0.3408 0.0621 x9